BaCa2Br | Alexandria | SCAN | PBEsol geometry; final energy = -0.7473 Ha/atom; energy relative to the elements, uncorrected = -3.006 eV per formula unit
1.0
3.9622 0.0000 0.0000
0.0000 3.8549 0.0000
-1.9628 0.0000 10.3812
Ba Ca Br
1 2 1
direct
0.0000 0.0000 0.0000 Ba
0.3493 0.5000 0.6940 Ca
0.7188 0.0000 0.4308 Ca
0.6006 0.5000 0.2029 Br